Entry 1:
! Sr4ReCl, optimized geometry, DFT GGA-PBE; values from VASP
&SYSTEM
  ibrav = 0, nat = 6, ntyp = 3
/
ATOMIC_SPECIES
Sr 87.62 Sr.upf
Re 186.21 Re.upf
Cl 35.45 Cl.upf
CELL_PARAMETERS angstrom
0.000 5.031 5.031
5.031 0.000 5.031
5.031 5.031 0.000
ATOMIC_POSITIONS angstrom
Sr 3.787 3.787 3.787
Sr 6.275 6.275 3.787
Sr 6.275 3.787 6.275
Sr 3.787 6.275 6.275
Re 7.547 7.547 7.547
Cl 0.000 0.000 0.000
! Space group ... F-43m, No. 216


Entry 2:
! Sr2ReCl, optimized geometry, DFT GGA-PBE; values from VASP
&SYSTEM
  ibrav = 0, nat = 4, ntyp = 3
/
ATOMIC_SPECIES
Sr 87.62 Sr.upf
Re 186.21 Re.upf
Cl 35.45 Cl.upf
CELL_PARAMETERS angstrom
3.511 -1.689 0.000
3.511 1.689 0.000
-1.570 0.000 8.986
ATOMIC_POSITIONS angstrom
Sr 1.298 0.000 2.275
Sr 4.153 0.000 6.711
Re -0.785 0.000 4.493
Cl 3.511 0.000 0.000
! Space group ... C2/m, No. 12


The calculation returns the following DOS at the Fermi energy values, one per record and in order: 8.4, 2.1 states/eV per cell.
The calculation returns the following formation energy without anion corrections values, one per record and in order: 1020, 15 meV/atom.